Material: GaAuI
Method: DFT, PBE
State: optimized geometry

Calculated values
For the total magnetization, the calculation gives 0.0 μB/cell. Its uncorrected formation energy is -0.27 eV per formula unit. The space group is P3_2 (145). The value obtained for the total energy is -8.1 eV/f.u. The crystal system is trigonal. The value obtained for the density of states at the Fermi level is 0.219 states/eV/atom.

Cell lengths 6.455, 6.455, 9.108 Å; angles 90.00, 90.00, 120.00 degrees
Fractional positions:
Ga: 0.165 0.029 0.000
Ga: 0.864 0.835 0.333
Ga: 0.971 0.136 0.667
Au: 0.089 0.696 0.171
Au: 0.304 0.393 0.838
Au: 0.607 0.911 0.505
I: 0.152 0.801 0.594
I: 0.199 0.351 0.261
I: 0.649 0.848 0.928